[1]
{
  "formula": "Pu2SbO6",
  "functional": "GGA-PBE",
  "state": "optimized geometry",
  "total_magnetization_mub_per_atom": 1.00,
  "formation_energy_uncorrected_ev_per_atom": -2.212,
  "crystal_system": "tetragonal",
  "sg": "I-42m (121)",
  "dos_at_fermi_per_ev_atom": 1.53,
  "total_energy_ev_per_atom": -9.1603,
  "lattice_angstrom": [[-2.065, 2.065, 7.989], [2.065, -2.065, 7.989], [2.065, 2.065, -7.989]],
  "species": ["Pu", "Pu", "Sb", "O", "O", "O", "O", "O", "O"],
  "frac_coords": [[0.179, 0.179, 0.000], [0.821, 0.821, 0.000], [0.500, 0.500, 0.000], [0.173, 0.173, 0.504], [0.250, 0.750, 0.500], [0.331, 0.827, 0.000], [0.669, 0.669, 0.496], [0.750, 0.250, 0.500], [0.827, 0.331, 0.000]]
}

[2]
{
  "formula": "Nd3TmP4",
  "functional": "GGA-PBE",
  "state": "optimized geometry",
  "total_magnetization_mub_per_atom": 0.00,
  "crystal_system": "orthorhombic",
  "sg": "Cmmm (65)",
  "dos_at_fermi_per_ev_atom": 0.08,
  "delta_e_f_ev_per_atom": -1.54,
  "total_energy_ev_per_atom": -6.5913,
  "lattice_angstrom": [[4.114, -5.817, 0.000], [4.114, 5.817, 0.000], [0.000, 0.000, 4.118]],
  "species": ["Nd", "Nd", "Nd", "Tm", "P", "P", "P", "P"],
  "frac_coords": [[0.000, 0.000, 0.000], [0.000, 0.500, 0.500], [0.500, 0.000, 0.500], [0.500, 0.500, 0.000], [0.255, 0.745, 0.000], [0.259, 0.259, 0.500], [0.741, 0.741, 0.500], [0.745, 0.255, 0.000]]
}

Which formula does entry 2 have? Nd3TmP4